No. 1
# TbGdSn2 (GGA-PBE, optimized geometry)
# Formation energy ... -0.655 eV per atom
# Energy above the lowest structure with this stoichiometry ... 0.015 eV/atom
# Magnetization ... 1.949 μB/atom
data_TbGdSn2
_symmetry_space_group_name_H-M 'P 4/m m m'
_symmetry_Int_Tables_number 123
_symmetry_space_group_name_Hall '-P 4 2'
_cell_length_a 4.903
_cell_length_b 4.903
_cell_length_c 4.462
_cell_angle_alpha 90.00
_cell_angle_beta 90.00
_cell_angle_gamma 90.00
loop_
_atom_site_label
_atom_site_type_symbol
_atom_site_fract_x
_atom_site_fract_y
_atom_site_fract_z
Tb1 Tb 0.000 0.000 0.000
Gd1 Gd 0.500 0.500 0.000
Sn1 Sn 0.000 0.500 0.500

***

No. 2
# RbBe2P3O10 (GGA-PBE, optimized geometry)
# E_form (uncorrected) ... -2.43 eV/atom
# Magnetization ... 0.000 μB/atom
data_RbBe2P3O10
_symmetry_space_group_name_H-M 'C 1 2/c 1'
_symmetry_Int_Tables_number 15
_cell_length_a 12.315
_cell_length_b 8.838
_cell_length_c 9.063
_cell_angle_alpha 90.00
_cell_angle_beta 116.95
_cell_angle_gamma 90.00
loop_
_symmetry_equiv_pos_as_xyz
'x,y,z'
'-x,-y,-z'
'-x,y,-z+1/2'
'x,-y,z+1/2'
'x+1/2,y+1/2,z'
'-x+1/2,-y+1/2,-z'
'-x+1/2,y+1/2,-z+1/2'
'x+1/2,-y+1/2,z+1/2'
loop_
_atom_site_label
_atom_site_type_symbol
_atom_site_fract_x
_atom_site_fract_y
_atom_site_fract_z
Rb1 Rb 0.000 0.199 0.250
Be1 Be 0.245 0.046 0.066
P1 P 0.000 0.378 0.750
P2 P 0.184 0.183 0.749
O1 O 0.049 0.267 0.653
O2 O 0.105 0.469 0.875
O3 O 0.173 0.069 0.867
O4 O 0.197 0.111 0.606
O5 O 0.225 0.190 0.165

***

No. 3
# Li8In6Ga (GGA-PBE, optimized geometry)
# Formation energy ... -0.198 eV per atom
# Magnetization ... 0.000 μB/atom
data_Li8In6Ga
_symmetry_space_group_name_H-M 'R -3'
_symmetry_Int_Tables_number 148
_symmetry_space_group_name_Hall '-R 3'
_cell_length_a 7.6012
_cell_length_b 7.6012
_cell_length_c 18.2883
_cell_angle_alpha 90.00
_cell_angle_beta 90.00
_cell_angle_gamma 120.00
loop_
_atom_site_label
_atom_site_type_symbol
_atom_site_fract_x
_atom_site_fract_y
_atom_site_fract_z
Li1 Li 0.0000 0.0000 0.0872
Li2 Li 0.0466 0.2593 0.6226
In1 In 0.0054 0.2476 0.7783
Ga1 Ga 0.0000 0.0000 0.5000

***

No. 4
# PmLuCdAu (GGA-PBE, optimized geometry)
# Formation energy ... -0.535 eV per atom
# Magnetization ... 0.000 μB/atom
data_PmLuCdAu
_symmetry_space_group_name_H-M 'F -4 3 m'
_symmetry_Int_Tables_number 216
_symmetry_space_group_name_Hall 'F -4 2 3'
_cell_length_a 7.359
_cell_length_b 7.359
_cell_length_c 7.359
_cell_angle_alpha 90.00
_cell_angle_beta 90.00
_cell_angle_gamma 90.00
loop_
_atom_site_label
_atom_site_type_symbol
_atom_site_fract_x
_atom_site_fract_y
_atom_site_fract_z
Pm1 Pm 0.000 0.000 0.000
Lu1 Lu 0.000 0.000 0.500
Cd1 Cd 0.250 0.250 0.250
Au1 Au 0.250 0.250 0.750

***

No. 5
# HfTaClF2 (GGA-PBE, optimized geometry)
# E_form (uncorrected) ... -0.56 eV/atom
# Magnetization ... 0.642 μB/atom
data_HfTaClF2
_symmetry_space_group_name_H-M 'P 4/m m m'
_symmetry_Int_Tables_number 123
_symmetry_space_group_name_Hall '-P 4 2'
_cell_length_a 3.970
_cell_length_b 3.970
_cell_length_c 7.033
_cell_angle_alpha 90.00
_cell_angle_beta 90.00
_cell_angle_gamma 90.00
loop_
_atom_site_label
_atom_site_type_symbol
_atom_site_fract_x
_atom_site_fract_y
_atom_site_fract_z
Hf1 Hf 0.000 0.000 0.000
Ta1 Ta 0.500 0.500 0.500
Cl1 Cl 0.500 0.500 0.000
F1 F 0.000 0.500 0.500

***

No. 6
# Sc4NiIr (GGA-PBE, optimized geometry)
# Formation energy ... -0.531 eV per atom
# Energy above the lowest structure with this stoichiometry ... 0.000 eV/atom
# Magnetization ... 0.000 μB/atom
data_Sc4NiIr
_symmetry_space_group_name_H-M 'C 1 2/c 1'
_symmetry_Int_Tables_number 15
_cell_length_a 8.280
_cell_length_b 12.118
_cell_length_c 5.725
_cell_angle_alpha 90.00
_cell_angle_beta 122.39
_cell_angle_gamma 90.00
loop_
_symmetry_equiv_pos_as_xyz
'x,y,z'
'-x,-y,-z'
'-x,y,-z+1/2'
'x,-y,z+1/2'
'x+1/2,y+1/2,z'
'-x+1/2,-y+1/2,-z'
'-x+1/2,y+1/2,-z+1/2'
'x+1/2,-y+1/2,z+1/2'
loop_
_atom_site_label
_atom_site_type_symbol
_atom_site_fract_x
_atom_site_fract_y
_atom_site_fract_z
Sc1 Sc 0.129 0.179 0.098
Sc2 Sc 0.197 0.439 0.273
Ni1 Ni 0.000 0.001 0.250
Ir1 Ir 0.000 0.361 0.750

***

No. 7
# LiY2Cl (GGA-PBE, optimized geometry)
# E_form (uncorrected) ... -0.42 eV/atom
# Energy above the lowest structure with this stoichiometry ... 0.220 eV/atom
# Magnetization ... 0.000 μB/atom
data_LiY2Cl
_symmetry_space_group_name_H-M 'I m m m'
_symmetry_Int_Tables_number 71
_symmetry_space_group_name_Hall '-I 2 2'
_cell_length_a 3.466
_cell_length_b 5.814
_cell_length_c 11.212
_cell_angle_alpha 90.00
_cell_angle_beta 90.00
_cell_angle_gamma 90.00
loop_
_atom_site_label
_atom_site_type_symbol
_atom_site_fract_x
_atom_site_fract_y
_atom_site_fract_z
Li1 Li 0.000 0.000 0.000
Y1 Y 0.000 0.500 0.200
Cl1 Cl 0.000 0.000 0.500

***

No. 8
# CdSn2C2 (GGA-PBE, optimized geometry)
# Formation energy ... 1.353 eV per atom
# Energy above the lowest structure with this stoichiometry ... 0.334 eV/atom
# Magnetization ... 0.000 μB/atom
data_CdSn2C2
_symmetry_space_group_name_H-M 'I 4/m m m'
_symmetry_Int_Tables_number 139
_symmetry_space_group_name_Hall '-I 4 2'
_cell_length_a 4.284
_cell_length_b 4.284
_cell_length_c 9.720
_cell_angle_alpha 90.00
_cell_angle_beta 90.00
_cell_angle_gamma 90.00
loop_
_atom_site_label
_atom_site_type_symbol
_atom_site_fract_x
_atom_site_fract_y
_atom_site_fract_z
Cd1 Cd 0.000 0.000 0.000
Sn1 Sn 0.000 0.000 0.345
C1 C 0.000 0.500 0.250